1.
AlCd2Cu, relaxed, DFT GGA-PBEsol; ΔE_f = 0.125 eV per atom; magnetic moment = 0.00 Bohr magnetons per cell
1.0
2.941 0.000 0.000
0.000 4.055 0.000
0.000 0.000 5.735
Cd Al Cu
2 1 1
Direct
0.000 0.000 0.759 Cd
0.000 0.000 0.241 Cd
0.500 0.500 0.500 Al
0.500 0.500 0.000 Cu

---

2.
NbSe4, relaxed, DFT GGA-PBEsol; E_form (uncorrected) = -0.57 eV/atom; magnetic moment = 0.00 Bohr magnetons per cell
1.0
-2.722 -0.347 5.188
3.554 -4.399 1.571
4.115 4.196 2.440
Se Nb
8 2
Direct
0.140 0.662 0.500 Se
0.338 0.860 0.000 Se
0.140 0.338 0.000 Se
0.338 0.140 0.500 Se
0.860 0.338 0.500 Se
0.860 0.662 0.000 Se
0.662 0.860 0.500 Se
0.662 0.140 0.000 Se
0.000 0.000 0.250 Nb
0.000 0.000 0.750 Nb